[1]
GGA-PBE BaHfIr2, relaxed; energy = -0.512 Ry/atom; space-group type = F-43m, No. 216
1.0
-4.2739 -2.1922 0.4565
-2.4441 0.3189 4.1479
-4.0446 2.6215 0.2215
Ir Ba Hf
2 1 1
Cartesian
-2.6906 0.1871 1.2065
0.0000 0.0000 0.0000
-8.0719 0.5612 3.6194
-5.3812 0.3741 2.4129

***

[2]
GGA-PBE La2Ga10Ni, relaxed; energy = -0.294 Ry/atom; space-group type = I4/mmm, No. 139
1.0
9.8631 -1.6263 9.1161
4.8947 -0.5702 12.5994
-7.9593 -1.9247 -10.7690
Ga Ni La
10 1 2
Cartesian
1.6735 -1.8829 0.2354
2.1571 -1.7966 6.3440
4.6413 -2.3247 4.6024
1.5325 -0.2281 2.2550
-0.8107 -1.3549 1.9770
2.9039 -0.4322 4.2730
13.2253 -1.9684 19.4604
11.8539 -1.7643 17.4425
7.6091 -2.7664 8.9694
5.1250 -2.2383 10.7110
7.3789 -1.0983 10.8577
9.5095 -1.4154 13.9929
5.2482 -0.7811 7.7226

***

[3]
GGA-PBE CsPr2Cu3TeS4, relaxed; energy = -0.355 Ry/atom; space-group type = Cmcm, No. 63
1.0
6.8125 -1.0291 -2.8936
-6.9007 2.7138 -0.9261
5.3422 15.9419 6.9077
Cu S Pr Te Cs
6 8 4 2 2
Cartesian
-0.7674 14.0897 3.9495
8.4931 7.8269 0.9734
-5.5328 2.9551 -0.8513
-3.2391 9.7997 2.1145
6.0214 3.5368 -0.8616
10.7868 14.6715 3.9392
4.5266 7.0980 0.7436
0.7274 10.5285 2.3443
6.5626 0.7754 -2.0920
8.1675 5.5648 -0.0168
2.5903 1.3201 -1.7600
2.6637 16.3065 4.8479
-1.3086 16.8511 5.1799
-2.9135 12.0618 3.1047
7.4209 14.7641 4.0578
-2.1669 2.8625 -0.9699
5.6345 9.4332 1.7479
-0.3805 8.1934 1.3400
-2.0712 5.7456 0.2995
7.3253 11.8809 2.7884
3.3234 12.9732 3.3626
1.9306 4.6534 -0.2747